A relaxed structure of Pm6GaFe2, computed with GGA-PBE.

Output
Formation enthalpy at 0 K, eV per atom: -0.088
Space group: No. 71

Cell: 8.5579 8.5579 8.5579 Å, 111.59 109.58 107.27°
Positions (direct):
Pm  0.0216  0.2276  0.7940
Pm  0.1850  0.2844  0.4693
Pm  0.1850  0.7156  0.9006
Pm  0.3152  0.0198  0.7046
Pm  0.3152  0.6106  0.2954
Pm  0.4336  0.2276  0.2060
Pm  0.5664  0.7724  0.7940
Pm  0.6848  0.3894  0.7046
Pm  0.6848  0.9802  0.2954
Pm  0.8151  0.2844  0.0994
Pm  0.8151  0.7156  0.5307
Pm  0.9784  0.7724  0.2060
Ga  0.0000  0.0000  0.0000
Ga  0.5000  0.5000  0.0000
Fe  0.1070  0.6070  0.5000
Fe  0.3870  0.0000  0.3870
Fe  0.6130  0.0000  0.6130
Fe  0.8930  0.3930  0.5000